Material: AlVO4
Method: DFT, GGA+U
State: relaxed

Calculated values
Uncorrected energy: -90.3 eV per cell
DOS(E_F): 0.000 states/eV per cell
Space group: C222_1 (20)

Cell lengths 5.660, 5.660, 7.969 Å; angles 90.00, 90.00, 90.00 degrees
Element x y z (fractional)
1 Al 0.231 0.231 0.000
2 Al 0.769 0.769 0.500
3 V 0.269 0.731 0.750
4 V 0.731 0.269 0.250
5 O 0.041 0.752 0.606
6 O 0.248 0.959 0.894
7 O 0.251 0.463 0.854
8 O 0.463 0.251 0.146
9 O 0.537 0.749 0.646
10 O 0.749 0.537 0.354
11 O 0.752 0.041 0.394
12 O 0.959 0.248 0.106